This record from Alexandria describes EuCrI2 after structural relaxation. The functional is PBE-GGA.

* electronic total energy: -24.0 eV/cell
* symmetry: R-3m (166)
* total magnetic moment: 12.17 Bohr magnetons per cell
* volume: 38.593 Å³ per atom

a b c (Å): 4.284 4.284 10.021
angles (deg): 77.66 77.66 60.00
Last column: magnetic moment on the atom in μB.
Fractional positions:
Eu  0.000  0.000  0.000  7.03
Cr  0.500  0.500  0.500  4.07
I  0.889  0.889  0.333  -0.01
I  0.111  0.111  0.667  -0.01